1.
{"formula": "Ta2CoP", "functional": "PBE", "state": "relaxed", "delta_e_f_ev_per_atom": -0.247, "lattice_angstrom": [[6.119, -0.004, -0.002], [5.099, 3.382, -0.002], [5.099, 1.536, 3.013]], "species": ["Co", "P", "Ta", "Ta"], "frac_coords": [[0.461, 0.461, 0.461], [0.789, 0.789, 0.789], [0.020, 0.020, 0.020], [0.230, 0.230, 0.230]]}


2.
{"formula": "GdCdBi2", "functional": "PBE", "state": "relaxed", "delta_e_f_ev_per_atom": -0.373, "lattice_angstrom": [[-1.576, -3.850, 0.008], [1.137, -0.458, 3.975], [-5.976, 2.450, 1.992]], "species": ["Gd", "Bi", "Bi", "Cd"], "frac_coords": [[0.500, 0.500, 0.000], [0.000, 0.000, 0.757], [0.000, 0.000, 0.243], [0.500, 0.500, 0.500]]}


3.
{"formula": "TiTcNi", "functional": "PBE", "state": "relaxed", "delta_e_f_ev_per_atom": -0.261, "lattice_angstrom": [[-0.269, 4.188, -0.626], [0.190, -2.634, -3.322], [-5.258, -0.343, -0.030]], "species": ["Ni", "Ni", "Tc", "Tc", "Ti", "Ti"], "frac_coords": [[0.667, 0.333, 0.335], [0.000, 0.000, 0.159], [0.333, 0.667, 0.985], [0.000, 0.000, 0.651], [0.667, 0.333, 0.834], [0.333, 0.667, 0.474]]}


4.
{"formula": "SiPBrO2", "functional": "PBE", "state": "relaxed", "formation_energy_uncorrected_ev_per_atom": -0.73, "lattice_angstrom": [[-1.927, -1.920, -2.205], [2.332, 0.584, -2.546], [2.710, -4.410, 1.471]], "species": ["P", "Si", "O", "O", "Br"], "frac_coords": [[0.000, 0.000, 0.500], [0.000, 0.000, 0.000], [0.000, 0.500, 0.000], [0.500, 0.000, 0.000], [0.500, 0.500, 0.500]]}